No. 1
# Co3Cl | the Alexandria database | GGA-PBE | relaxed
data_Co3Cl
_space_group_name_H-M_alt 'P 1'
_space_group_IT_number 1
_cell_length_a 4.6729
_cell_length_b 4.6729
_cell_length_c 4.6729
_cell_angle_alpha 90.00
_cell_angle_beta 90.00
_cell_angle_gamma 90.00
loop_
_space_group_symop_operation_xyz
'x,y,z'
loop_
_atom_site_label
_atom_site_fract_x
_atom_site_fract_y
_atom_site_fract_z
Co1 0.5000 0.0000 0.7500
Co2 0.7500 0.5000 0.0000
Co3 0.2500 0.5000 0.0000
Co4 0.0000 0.2500 0.5000
Co5 0.5000 0.0000 0.2500
Co6 0.0000 0.7500 0.5000
Cl1 0.0000 0.0000 0.0000
Cl2 0.5000 0.5000 0.5000
# - symmetry = Pm-3n, No. 223
# - energy above the most stable polymorph in this dataset (meV per atom) = 594



No. 2
# CoCl2 | the Alexandria database | GGA-PBE | relaxed
data_CoCl2
_space_group_name_H-M_alt 'P 1'
_space_group_IT_number 1
_cell_length_a 6.8077
_cell_length_b 6.8077
_cell_length_c 6.8077
_cell_angle_alpha 30.00
_cell_angle_beta 30.00
_cell_angle_gamma 30.00
loop_
_space_group_symop_operation_xyz
'x,y,z'
loop_
_atom_site_label
_atom_site_fract_x
_atom_site_fract_y
_atom_site_fract_z
Co1 0.0000 0.0000 0.0000
Cl1 0.2648 0.2648 0.2648
Cl2 0.7352 0.7352 0.7352
# - symmetry = R-3m, No. 166



No. 3
# CoCl3 | the Alexandria database | GGA-PBE | relaxed
data_CoCl3
_space_group_name_H-M_alt 'P 1'
_space_group_IT_number 1
_cell_length_a 4.7437
_cell_length_b 4.7437
_cell_length_c 4.7437
_cell_angle_alpha 60.00
_cell_angle_beta 60.00
_cell_angle_gamma 60.00
loop_
_space_group_symop_operation_xyz
'x,y,z'
loop_
_atom_site_label
_atom_site_fract_x
_atom_site_fract_y
_atom_site_fract_z
Co1 0.5000 0.5000 0.5000
Cl1 0.7500 0.7500 0.7500
Cl2 0.0000 0.0000 0.0000
Cl3 0.2500 0.2500 0.2500
# - symmetry = Fm-3m, No. 225



No. 4
# CoCl3 | the Alexandria database | GGA-PBE | relaxed
data_CoCl3
_space_group_name_H-M_alt 'P 1'
_space_group_IT_number 1
_cell_length_a 4.7058
_cell_length_b 4.7058
_cell_length_c 9.2445
_cell_angle_alpha 90.00
_cell_angle_beta 90.00
_cell_angle_gamma 141.94
loop_
_space_group_symop_operation_xyz
'x,y,z'
loop_
_atom_site_label
_atom_site_fract_x
_atom_site_fract_y
_atom_site_fract_z
Cl1 0.5000 0.5000 0.7500
Cl2 0.0000 0.0000 0.4152
Cl3 0.0000 0.0000 0.0848
Co1 0.5000 0.5000 0.2500
# - symmetry = Cmmm, No. 65



No. 5
# CoCl3 | the Alexandria database | GGA-PBE | relaxed
data_CoCl3
_space_group_name_H-M_alt 'P 1'
_space_group_IT_number 1
_cell_length_a 5.7679
_cell_length_b 5.7679
_cell_length_c 6.1678
_cell_angle_alpha 62.12
_cell_angle_beta 62.12
_cell_angle_gamma 60.00
loop_
_space_group_symop_operation_xyz
'x,y,z'
loop_
_atom_site_label
_atom_site_fract_x
_atom_site_fract_y
_atom_site_fract_z
Cl1 0.9005 0.2500 0.2500
Cl2 0.2500 0.5995 0.2500
Cl3 0.4005 0.0995 0.7500
Cl4 0.0995 0.7500 0.7500
Cl5 0.7500 0.4005 0.7500
Cl6 0.5995 0.9005 0.2500
Co1 0.0000 0.0000 0.0000
Co2 0.5000 0.5000 0.5000
# - symmetry = R-3c, No. 167



No. 6
# Co3Cl | the Alexandria database | GGA-PBE | relaxed
data_Co3Cl
_space_group_name_H-M_alt 'P 1'
_space_group_IT_number 1
_cell_length_a 6.1038
_cell_length_b 6.1038
_cell_length_c 7.0841
_cell_angle_alpha 90.00
_cell_angle_beta 90.00
_cell_angle_gamma 120.00
loop_
_space_group_symop_operation_xyz
'x,y,z'
loop_
_atom_site_label
_atom_site_fract_x
_atom_site_fract_y
_atom_site_fract_z
Cl1 0.6667 0.3333 0.7500
Cl2 0.0000 0.0000 0.5000
Cl3 0.0000 0.0000 0.0000
Cl4 0.3333 0.6667 0.2500
Co1 0.5000 0.5000 0.5000
Co2 0.2025 0.4049 0.7500
Co3 0.0000 0.5000 0.5000
Co4 0.5000 0.0000 0.5000
Co5 0.5000 0.0000 0.0000
Co6 0.0000 0.5000 0.0000
Co7 0.2025 0.7975 0.7500
Co8 0.7975 0.2025 0.2500
Co9 0.5000 0.5000 0.0000
Co10 0.5951 0.7975 0.7500
Co11 0.7975 0.5951 0.2500
Co12 0.4049 0.2025 0.2500
# - symmetry = P6_3/mmc, No. 194
# - energy above the most stable polymorph in this dataset (meV per atom) = 448



No. 7
# CoCl3 | the Alexandria database | GGA-PBE | relaxed
data_CoCl3
_space_group_name_H-M_alt 'P 1'
_space_group_IT_number 1
_cell_length_a 10.5429
_cell_length_b 10.5429
_cell_length_c 10.5429
_cell_angle_alpha 18.64
_cell_angle_beta 18.64
_cell_angle_gamma 18.64
loop_
_space_group_symop_operation_xyz
'x,y,z'
loop_
_atom_site_label
_atom_site_fract_x
_atom_site_fract_y
_atom_site_fract_z
Co1 0.5000 0.5000 0.5000
Cl1 0.1222 0.1222 0.1222
Cl2 0.0000 0.0000 0.0000
Cl3 0.8778 0.8778 0.8778
# - symmetry = R-3m, No. 166



No. 8
# Co5Cl | the Alexandria database | GGA-PBE | relaxed
data_Co5Cl
_space_group_name_H-M_alt 'P 1'
_space_group_IT_number 1
_cell_length_a 4.8651
_cell_length_b 4.8651
_cell_length_c 5.9834
_cell_angle_alpha 73.15
_cell_angle_beta 73.15
_cell_angle_gamma 32.29
loop_
_space_group_symop_operation_xyz
'x,y,z'
loop_
_atom_site_label
_atom_site_fract_x
_atom_site_fract_y
_atom_site_fract_z
Co1 0.6242 0.6242 0.2936
Co2 0.6775 0.6775 0.6473
Co3 0.9489 0.9489 0.6161
Co4 0.2530 0.2530 0.9335
Co5 0.3404 0.3404 0.3415
Cl1 0.9893 0.9893 0.0012
# - symmetry = Cm, No. 8
# - energy above the most stable polymorph in this dataset (meV per atom) = 90



No. 9
# CoCl3 | the Alexandria database | GGA-PBE | relaxed
data_CoCl3
_space_group_name_H-M_alt 'P 1'
_space_group_IT_number 1
_cell_length_a 4.7714
_cell_length_b 4.7714
_cell_length_c 3.3549
_cell_angle_alpha 90.00
_cell_angle_beta 90.00
_cell_angle_gamma 90.02
loop_
_space_group_symop_operation_xyz
'x,y,z'
loop_
_atom_site_label
_atom_site_fract_x
_atom_site_fract_y
_atom_site_fract_z
Co1 0.0000 0.0000 0.0000
Cl1 0.5000 0.5000 0.0000
Cl2 0.5000 0.0000 0.5000
Cl3 0.0000 0.5000 0.5000
# - symmetry = P4/mmm, No. 123



No. 10
# CoCl2 | the Alexandria database | GGA-PBE | relaxed
data_CoCl2
_space_group_name_H-M_alt 'P 1'
_space_group_IT_number 1
_cell_length_a 3.5242
_cell_length_b 3.5247
_cell_length_c 6.4813
_cell_angle_alpha 90.03
_cell_angle_beta 90.00
_cell_angle_gamma 120.00
loop_
_space_group_symop_operation_xyz
'x,y,z'
loop_
_atom_site_label
_atom_site_fract_x
_atom_site_fract_y
_atom_site_fract_z
Cl1 0.6666 0.3332 0.2062
Cl2 0.3334 0.6668 0.7938
Co1 0.0000 0.0000 0.0000
# - symmetry = P-3m1, No. 164



No. 11
# CoCl2 | the Alexandria database | GGA-PBE | relaxed
data_CoCl2
_space_group_name_H-M_alt 'P 1'
_space_group_IT_number 1
_cell_length_a 3.3738
_cell_length_b 3.3738
_cell_length_c 13.4855
_cell_angle_alpha 90.00
_cell_angle_beta 90.00
_cell_angle_gamma 120.00
loop_
_space_group_symop_operation_xyz
'x,y,z'
loop_
_atom_site_label
_atom_site_fract_x
_atom_site_fract_y
_atom_site_fract_z
Cl1 0.6667 0.3333 0.3608
Cl2 0.3333 0.6667 0.6392
Cl3 0.3333 0.6667 0.8608
Cl4 0.6667 0.3333 0.1392
Co1 0.0000 0.0000 0.7500
Co2 0.0000 0.0000 0.2500
# - symmetry = P6_3/mmc, No. 194



No. 12
# Co5Cl | the Alexandria database | GGA-PBE | relaxed
data_Co5Cl
_space_group_name_H-M_alt 'P 1'
_space_group_IT_number 1
_cell_length_a 7.3558
_cell_length_b 7.3558
_cell_length_c 3.9013
_cell_angle_alpha 90.00
_cell_angle_beta 90.00
_cell_angle_gamma 158.65
loop_
_space_group_symop_operation_xyz
'x,y,z'
loop_
_atom_site_label
_atom_site_fract_x
_atom_site_fract_y
_atom_site_fract_z
Co1 0.6768 0.3232 0.0000
Co2 0.4139 0.5861 0.5000
Co3 0.1281 0.8719 0.5000
Co4 0.7740 0.2260 0.5000
Co5 0.3162 0.6838 0.0000
Cl1 0.0244 0.9756 0.0000
# - symmetry = Amm2, No. 38
# - energy above the most stable polymorph in this dataset (meV per atom) = 87



Looking at electronic total energy for the records above, in order, we have -39.62; -12.41; -10.44; -13.09; -28.45; -81.57; -13.32; -35.22; -10.11; -12.41; -23.93; -35.24 eV for the cell shown.
Looking at theoretical density for the records above, in order, we have 6.91; 3.09; 3.64; 2.17; 3.67; 6.17; 2.62; 7.60; 3.59; 3.09; 3.24; 7.13 g/cm3.
Looking at formation energy (no corrections) for the records above, in order, we have 0.84; -0.54; 0.55; -0.11; -0.39; 0.69; -0.17; 0.36; 0.63; -0.54; -0.39; 0.36 eV/atom.